Density functional theory data (PBE-GGA) for RbNa4Sr5 after structural relaxation.

Output
Its crystal system is tetragonal. As for the volume: 50.65 Å³/atom. Its space-group type is P4/mmm, No. 123. For the uncorrected energy, the calculation gives -1.415 eV per atom.

a b c (Å): 4.505 4.505 24.962
angles (deg): 90.00 90.00 90.00
Positions (direct):
Rb1 0.000 0.000 0.000
Na1 0.000 0.000 0.231
Na2 0.000 0.000 0.410
Na3 0.000 0.000 0.590
Na4 0.000 0.000 0.769
Sr1 0.500 0.500 0.141
Sr2 0.500 0.500 0.320
Sr3 0.500 0.500 0.500
Sr4 0.500 0.500 0.680
Sr5 0.500 0.500 0.859